(1)
The following is a PBE calculation of an optimized crystal structure of AgBi3Rh, from the Alexandria database.

The value obtained for the energy of formation is -0.02 eV/atom. The total energy is -4.394 eV/atom.

The structure belongs to space group P2_1/c (No. 14); the cell edges are 6.4046, 6.6104 and 13.3395 Å and the angles 90.00°, 114.66° and 90.00°. The inequivalent atoms are Ag at (0.0473, 0.0134, 0.3997), Bi at (0.1496, 0.5028, 0.3453), Bi at (0.2959, 0.6354, 0.6097), Bi at (0.4390, 0.1320, 0.6161) and Rh at (0.2803, 0.1753, 0.2582).

=====

(2)
The following is a PBE calculation of an optimized crystal structure of Ag2Bi2Rh, from the Alexandria database.

The value obtained for the energy of formation is 0.25 eV/atom. The total energy is -3.917 eV/atom.

The structure belongs to space group P4/mbm (No. 127); the cell edges are 7.1504, 7.1504 and 4.6196 Å and the angles 90.00°, 90.00° and 90.00°. The inequivalent atoms are Ag at (0.1466, 0.3534, 0.0000), Bi at (0.1581, 0.6581, 0.5000) and Rh at (0.0000, 0.0000, 0.5000).